! Cs2KNa2, PBEsol geometry, DFT meta-GGA SCAN; values from VASP
&SYSTEM
  ibrav = 0, nat = 5, ntyp = 3
/
ATOMIC_SPECIES
K 39.10 K.upf
Na 22.99 Na.upf
Cs 132.91 Cs.upf
CELL_PARAMETERS angstrom
4.904 0.000 0.000
0.000 4.904 0.000
-2.452 -2.452 14.629
ATOMIC_POSITIONS angstrom
K 0.000 0.000 0.000
Na 0.000 2.452 7.315
Cs 0.000 0.000 11.026
Na 2.452 0.000 7.315
Cs 2.452 2.452 3.603
! DFT total energy: -92.15 eV/cell
! DFT formation energy: 46 meV per atom
! Symmetry: I4/mmm (139)
! Crystal system: tetragonal

***

! Cs2KNa2, PBEsol geometry, DFT meta-GGA SCAN; values from VASP
&SYSTEM
  ibrav = 0, nat = 5, ntyp = 3
/
ATOMIC_SPECIES
K 39.10 K.upf
Na 22.99 Na.upf
Cs 132.91 Cs.upf
CELL_PARAMETERS angstrom
6.378 0.000 0.000
0.000 6.378 0.000
-3.189 -3.189 9.072
ATOMIC_POSITIONS angstrom
K 0.000 0.000 0.000
Na 0.000 0.000 7.452
Cs 0.000 3.189 4.536
Na 3.189 3.189 1.621
Cs 3.189 0.000 4.536
! DFT total energy: -91.82 eV/cell
! DFT formation energy: 112 meV per atom
! Symmetry: I4/mmm (139)
! Crystal system: tetragonal

***

! CsK3Na, PBEsol geometry, DFT meta-GGA SCAN; values from VASP
&SYSTEM
  ibrav = 0, nat = 5, ntyp = 3
/
ATOMIC_SPECIES
Cs 132.91 Cs.upf
K 39.10 K.upf
Na 22.99 Na.upf
CELL_PARAMETERS angstrom
-4.749 -2.986 4.623
-0.272 -5.971 -4.137
5.496 -2.876 3.789
ATOMIC_POSITIONS angstrom
Cs 0.237 -5.916 2.138
K -2.375 -1.493 2.311
Na 0.000 0.000 0.000
K -0.136 -2.985 -2.068
K 2.748 -1.438 1.895
! DFT total energy: -66.66 eV/cell
! DFT formation energy: 70 meV per atom
! Symmetry: Pm-3m (221)
! Crystal system: cubic

***

! Cs2K2Na, PBEsol geometry, DFT meta-GGA SCAN; values from VASP
&SYSTEM
  ibrav = 0, nat = 10, ntyp = 3
/
ATOMIC_SPECIES
Cs 132.91 Cs.upf
K 39.10 K.upf
Na 22.99 Na.upf
CELL_PARAMETERS angstrom
-0.875 4.824 5.671
-9.899 -2.452 0.559
2.215 -7.423 6.655
ATOMIC_POSITIONS angstrom
Cs -7.854 -1.985 5.432
Cs -0.704 -3.067 7.454
K -7.035 -6.885 4.771
K -6.063 -2.658 1.326
Cs -5.339 -5.348 8.680
K -0.649 -2.991 2.444
Na 0.000 0.000 0.000
Na -3.842 -4.938 3.607
K -1.620 -7.218 5.889
Cs -3.220 0.296 4.206
! DFT total energy: -192.53 eV/cell
! DFT formation energy: 45 meV per atom
! Symmetry: P4/mbm (127)
! Crystal system: tetragonal

***

! CsK2NiO, PBEsol geometry, DFT meta-GGA SCAN; values from VASP
&SYSTEM
  ibrav = 0, nat = 5, ntyp = 4
/
ATOMIC_SPECIES
K 39.10 K.upf
O 16.00 O.upf
Cs 132.91 Cs.upf
Ni 58.69 Ni.upf
CELL_PARAMETERS angstrom
-1.018 -5.123 -0.463
1.880 -0.836 5.123
-5.079 0.829 1.999
ATOMIC_POSITIONS angstrom
K -2.539 0.414 1.000
K 0.940 -0.418 2.561
O -2.108 -2.565 3.330
Cs -0.509 -2.561 -0.231
Ni 0.000 0.000 0.000
! DFT total energy: -74.33 eV/cell
! Symmetry: P4/mmm (123)
! Crystal system: tetragonal

***

! Cs2K2TeO5, PBEsol geometry, DFT meta-GGA SCAN; values from VASP
&SYSTEM
  ibrav = 0, nat = 40, ntyp = 4
/
ATOMIC_SPECIES
K 39.10 K.upf
O 16.00 O.upf
Cs 132.91 Cs.upf
Te 127.60 Te.upf
CELL_PARAMETERS angstrom
9.136 0.000 0.000
0.000 9.136 0.000
0.000 0.000 9.564
ATOMIC_POSITIONS angstrom
K 7.996 7.996 2.714
O 1.624 7.512 2.847
Cs 3.060 3.060 4.782
O 2.479 0.018 4.782
O 3.081 6.055 4.782
O 0.018 2.479 4.782
Cs 0.000 4.568 2.391
O 9.119 6.657 4.782
O 6.657 9.119 4.782
K 7.996 7.996 6.850
O 7.047 4.550 0.000
K 5.708 3.428 2.068
O 7.512 1.624 6.717
K 1.140 1.140 2.714
Te 1.746 7.390 4.782
O 2.944 2.944 7.630
Cs 0.000 4.568 7.173
K 5.708 3.428 7.497
O 6.055 3.081 4.782
O 7.512 1.624 2.847
O 2.944 2.944 1.935
K 3.428 5.708 7.497
K 3.428 5.708 2.068
Cs 1.508 7.628 0.000
O 6.192 6.192 7.630
Cs 4.568 0.000 7.173
O 4.550 7.047 0.000
O 1.487 1.487 0.000
Te 6.314 6.314 0.000
Te 2.822 2.822 0.000
Te 7.390 1.746 4.782
O 7.649 7.649 0.000
K 1.140 1.140 6.850
Cs 6.077 6.077 4.782
Cs 4.568 0.000 2.391
O 6.192 6.192 1.935
O 4.586 2.089 0.000
O 2.089 4.586 0.000
O 1.624 7.512 6.717
Cs 7.628 1.508 0.000
! DFT total energy: -708.14 eV/cell
! Symmetry: P4_2/mnm (136)
! Crystal system: tetragonal

***

! CsK2P2, PBEsol geometry, DFT meta-GGA SCAN; values from VASP
&SYSTEM
  ibrav = 0, nat = 5, ntyp = 3
/
ATOMIC_SPECIES
Cs 132.91 Cs.upf
K 39.10 K.upf
P 30.97 P.upf
CELL_PARAMETERS angstrom
-3.364 0.585 -3.983
-4.025 -0.570 3.316
3.623 5.948 1.269
ATOMIC_POSITIONS angstrom
Cs 0.000 0.000 0.000
K -1.718 3.271 -1.523
P -3.707 1.067 -0.167
K -2.048 2.693 2.126
P -0.059 4.897 0.770
! DFT total energy: -77.13 eV/cell
! DFT formation energy: -372 meV per atom
! Symmetry: I4/mmm (139)
! Crystal system: tetragonal

***

! Cs2KP, PBEsol geometry, DFT meta-GGA SCAN; values from VASP
&SYSTEM
  ibrav = 0, nat = 4, ntyp = 3
/
ATOMIC_SPECIES
Cs 132.91 Cs.upf
K 39.10 K.upf
P 30.97 P.upf
CELL_PARAMETERS angstrom
5.923 0.000 0.000
2.962 5.130 0.000
2.962 1.710 4.836
ATOMIC_POSITIONS angstrom
Cs 8.885 5.130 3.627
K 5.923 3.420 2.418
Cs 2.962 1.710 1.209
P 0.000 0.000 0.000
! DFT total energy: -95.06 eV/cell
! DFT formation energy: -177 meV per atom
! Symmetry: Fm-3m (225)
! Crystal system: cubic

***

! Cs2KPRh, PBEsol geometry, DFT meta-GGA SCAN; values from VASP
&SYSTEM
  ibrav = 0, nat = 5, ntyp = 4
/
ATOMIC_SPECIES
Cs 132.91 Cs.upf
Rh 102.91 Rh.upf
P 30.97 P.upf
K 39.10 K.upf
CELL_PARAMETERS angstrom
5.274 0.000 0.000
0.000 6.577 0.000
0.000 0.000 6.577
ATOMIC_POSITIONS angstrom
Cs 0.000 0.000 3.288
Rh 2.637 3.288 3.288
P 2.637 0.000 0.000
Cs 0.000 3.288 0.000
K 0.000 0.000 0.000
! DFT total energy: -123.46 eV/cell
! DFT formation energy: 931 meV per atom
! Symmetry: P4/mmm (123)
! Crystal system: tetragonal

***

! Cs2KPS, PBEsol geometry, DFT meta-GGA SCAN; values from VASP
&SYSTEM
  ibrav = 0, nat = 5, ntyp = 4
/
ATOMIC_SPECIES
S 32.06 S.upf
K 39.10 K.upf
Cs 132.91 Cs.upf
P 30.97 P.upf
CELL_PARAMETERS angstrom
-3.264 -0.100 -3.321
-2.107 -6.218 2.259
-4.483 3.086 4.312
ATOMIC_POSITIONS angstrom
S -1.632 -0.050 -1.661
K -4.927 -1.617 1.625
Cs -2.241 1.543 2.156
P 0.000 0.000 0.000
Cs -1.054 -3.109 1.129
! DFT total energy: -104.38 eV/cell
! Symmetry: P4/mmm (123)
! Crystal system: tetragonal

***

! CsKP2S, PBEsol geometry, DFT meta-GGA SCAN; values from VASP
&SYSTEM
  ibrav = 0, nat = 5, ntyp = 4
/
ATOMIC_SPECIES
K 39.10 K.upf
P 30.97 P.upf
Cs 132.91 Cs.upf
S 32.06 S.upf
CELL_PARAMETERS angstrom
-0.947 0.647 -5.609
3.694 -4.230 -1.112
-4.219 -3.759 0.279
ATOMIC_POSITIONS angstrom
K -0.736 -3.671 -3.221
P 1.847 -2.115 -0.556
P -0.474 0.324 -2.804
Cs 0.000 0.000 0.000
S -2.110 -1.879 0.139
! DFT total energy: -71.34 eV/cell
! Symmetry: P4/mmm (123)
! Crystal system: tetragonal

***

! CsK3Pd, PBEsol geometry, DFT meta-GGA SCAN; values from VASP
&SYSTEM
  ibrav = 0, nat = 5, ntyp = 3
/
ATOMIC_SPECIES
Cs 132.91 Cs.upf
K 39.10 K.upf
Pd 106.42 Pd.upf
CELL_PARAMETERS angstrom
-2.165 3.862 -4.686
-4.276 -4.501 -1.735
-4.311 2.526 4.073
ATOMIC_POSITIONS angstrom
Cs -5.376 0.943 -1.173
K -2.156 1.263 2.037
Pd 0.000 0.000 0.000
K -1.082 1.931 -2.343
K -2.138 -2.251 -0.867
! DFT total energy: -95.06 eV/cell
! DFT formation energy: 103 meV per atom
! Symmetry: Pm-3m (221)
! Crystal system: cubic

***

! CsK2TlPt, PBEsol geometry, DFT meta-GGA SCAN; values from VASP
&SYSTEM
  ibrav = 0, nat = 5, ntyp = 4
/
ATOMIC_SPECIES
Cs 132.91 Cs.upf
K 39.10 K.upf
Tl 204.38 Tl.upf
Pt 195.08 Pt.upf
CELL_PARAMETERS angstrom
5.292 0.000 0.000
0.000 6.235 0.000
0.000 0.000 6.235
ATOMIC_POSITIONS angstrom
Cs 2.646 3.118 3.118
K 0.000 3.118 0.000
Tl 2.646 0.000 0.000
Pt 0.000 0.000 0.000
K 0.000 0.000 3.118
! DFT total energy: -197.61 eV/cell
! DFT formation energy: -119 meV per atom
! Symmetry: P4/mmm (123)
! Crystal system: tetragonal

***

! Cs2K2Rb, PBEsol geometry, DFT meta-GGA SCAN; values from VASP
&SYSTEM
  ibrav = 0, nat = 10, ntyp = 3
/
ATOMIC_SPECIES
K 39.10 K.upf
Cs 132.91 Cs.upf
Rb 85.47 Rb.upf
CELL_PARAMETERS angstrom
5.095 0.000 0.000
0.000 13.288 0.000
0.000 0.000 13.288
ATOMIC_POSITIONS angstrom
K 2.548 2.195 8.839
Cs 0.000 11.506 8.425
Cs 0.000 1.782 4.862
K 2.548 4.449 2.195
K 2.548 11.093 4.449
Rb 0.000 6.644 6.644
K 2.548 8.839 11.093
Cs 0.000 4.862 11.506
Cs 0.000 8.425 1.782
Rb 0.000 0.000 0.000
! DFT total energy: -225.61 eV/cell
! DFT formation energy: 43 meV per atom
! Symmetry: P4/mbm (127)
! Crystal system: tetragonal

***

! CsK7Rb5, PBEsol geometry, DFT meta-GGA SCAN; values from VASP
&SYSTEM
  ibrav = 0, nat = 26, ntyp = 3
/
ATOMIC_SPECIES
K 39.10 K.upf
Rb 85.47 Rb.upf
Cs 132.91 Cs.upf
CELL_PARAMETERS angstrom
-6.721 -0.239 -5.548
7.765 -3.139 -2.422
-8.059 -28.416 10.989
ATOMIC_POSITIONS angstrom
K 4.416 -5.895 -1.692
Rb -6.044 -21.312 8.242
Cs 0.921 -9.276 -0.716
K 1.076 -6.014 -4.448
Rb -5.728 -14.730 0.725
Rb -3.680 -25.500 5.558
K -11.431 -25.899 4.711
Rb -2.536 -21.468 3.999
K -1.114 -13.736 -1.462
K -5.383 -19.736 0.522
K -1.633 -12.058 2.498
K 0.557 -4.336 -0.488
K -7.573 -27.458 3.508
K 0.000 0.000 0.000
K 2.226 -13.617 1.295
K -8.091 -25.780 7.468
K -4.029 -14.208 5.494
Rb -4.929 -29.905 7.261
Cs -7.937 -22.518 3.736
K -5.901 -18.058 4.482
Rb -1.287 -17.064 2.295
Rb -2.086 -1.889 -4.241
Rb -4.479 -10.326 -0.979
K -9.241 -18.177 1.725
Rb -3.335 -6.294 -2.538
Rb -2.015 -7.104 2.747
! DFT total energy: -399.48 eV/cell
! DFT formation energy: 5 meV per atom
! Symmetry: P6_3/mmc (194)
! Crystal system: hexagonal

***

! Cs2K2Rb, PBEsol geometry, DFT meta-GGA SCAN; values from VASP
&SYSTEM
  ibrav = 0, nat = 5, ntyp = 3
/
ATOMIC_SPECIES
K 39.10 K.upf
Cs 132.91 Cs.upf
Rb 85.47 Rb.upf
CELL_PARAMETERS angstrom
5.950 0.000 0.000
0.000 5.950 0.000
-2.975 -2.975 13.272
ATOMIC_POSITIONS angstrom
K 2.975 0.000 6.636
Cs 2.975 2.975 2.738
Cs 0.000 0.000 10.535
Rb 0.000 0.000 0.000
K 0.000 2.975 6.636
! DFT total energy: -112.73 eV/cell
! DFT formation energy: 58 meV per atom
! Symmetry: I4/mmm (139)
! Crystal system: tetragonal

***

! CsK3Ru, PBEsol geometry, DFT meta-GGA SCAN; values from VASP
&SYSTEM
  ibrav = 0, nat = 5, ntyp = 3
/
ATOMIC_SPECIES
Ru 101.07 Ru.upf
Cs 132.91 Cs.upf
K 39.10 K.upf
CELL_PARAMETERS angstrom
-1.042 3.243 -5.358
-6.198 0.245 1.353
0.898 5.453 3.125
ATOMIC_POSITIONS angstrom
Ru 0.000 0.000 0.000
Cs -3.171 4.470 -0.440
K 0.449 2.727 1.563
K -3.099 0.122 0.677
K -0.521 1.621 -2.679
! DFT total energy: -93.85 eV/cell
! DFT formation energy: 756 meV per atom
! Symmetry: Pm-3m (221)
! Crystal system: cubic

***

! CsKS2, PBEsol geometry, DFT meta-GGA SCAN; values from VASP
&SYSTEM
  ibrav = 0, nat = 8, ntyp = 3
/
ATOMIC_SPECIES
S 32.06 S.upf
Cs 132.91 Cs.upf
K 39.10 K.upf
CELL_PARAMETERS angstrom
5.116 0.000 0.000
0.000 5.116 0.000
-2.558 -2.558 10.188
ATOMIC_POSITIONS angstrom
S -1.279 -0.286 7.641
S 2.844 1.279 2.547
S 2.272 3.837 2.547
Cs 0.000 0.000 0.000
K 2.558 0.000 5.094
K 2.558 2.558 0.000
Cs 0.000 2.558 5.094
S 1.279 0.286 7.641
! DFT total energy: -136.60 eV/cell
! Symmetry: I-42d (122)
! Crystal system: tetragonal

***

! CsK2S2, PBEsol geometry, DFT meta-GGA SCAN; values from VASP
&SYSTEM
  ibrav = 0, nat = 10, ntyp = 3
/
ATOMIC_SPECIES
S 32.06 S.upf
Cs 132.91 Cs.upf
K 39.10 K.upf
CELL_PARAMETERS angstrom
3.468 0.000 0.000
0.000 9.024 0.000
0.000 0.000 9.024
ATOMIC_POSITIONS angstrom
S 1.734 7.449 2.937
Cs 0.000 4.512 4.512
S 1.734 1.575 6.087
K 0.000 3.406 7.918
K 0.000 5.618 1.106
S 1.734 2.937 1.575
K 0.000 7.918 5.618
S 1.734 6.087 7.449
Cs 0.000 0.000 0.000
K 0.000 1.106 3.406
! DFT total energy: -157.84 eV/cell
! Symmetry: P4/mbm (127)
! Crystal system: tetragonal

***

! CsK2Sb2, PBEsol geometry, DFT meta-GGA SCAN; values from VASP
&SYSTEM
  ibrav = 0, nat = 10, ntyp = 3
/
ATOMIC_SPECIES
K 39.10 K.upf
Cs 132.91 Cs.upf
Sb 121.76 Sb.upf
CELL_PARAMETERS angstrom
-1.680 -2.818 3.578
-0.102 -7.323 -5.815
8.772 -2.088 2.475
ATOMIC_POSITIONS angstrom
K 0.617 -4.180 0.291
Cs 0.000 0.000 0.000
Cs 4.335 -4.705 -1.670
K 5.020 -4.053 2.459
Sb 7.802 -4.751 -0.078
Sb 3.445 -1.599 0.359
Sb 0.868 -4.659 -3.261
K 6.373 -8.048 -0.052
Sb 5.225 -7.811 -3.698
K 1.970 -8.176 -2.220
! DFT total energy: -262.16 eV/cell
! Symmetry: P4/mbm (127)
! Crystal system: tetragonal

***

! CsKSbTe2, PBEsol geometry, DFT meta-GGA SCAN; values from VASP
&SYSTEM
  ibrav = 0, nat = 5, ntyp = 4
/
ATOMIC_SPECIES
Sb 121.76 Sb.upf
Te 127.60 Te.upf
Cs 132.91 Cs.upf
K 39.10 K.upf
CELL_PARAMETERS angstrom
-5.217 1.792 -2.043
-2.784 -2.912 4.553
0.375 5.005 3.431
ATOMIC_POSITIONS angstrom
Sb -2.608 0.896 -1.022
Te 0.188 2.502 1.715
Te -1.392 -1.456 2.276
Cs -3.813 1.942 2.970
K 0.000 0.000 0.000
! DFT total energy: -156.83 eV/cell
! Symmetry: P4/mmm (123)
! Crystal system: tetragonal

***

! CsK2Se2, PBEsol geometry, DFT meta-GGA SCAN; values from VASP
&SYSTEM
  ibrav = 0, nat = 5, ntyp = 3
/
ATOMIC_SPECIES
Se 78.96 Se.upf
Cs 132.91 Cs.upf
K 39.10 K.upf
CELL_PARAMETERS angstrom
-4.793 -3.394 0.864
0.020 -1.491 -5.745
5.620 -1.839 3.562
ATOMIC_POSITIONS angstrom
Se -0.780 -3.837 0.993
Cs 0.000 0.000 0.000
K 2.200 -2.913 0.763
Se 1.626 -2.886 -2.312
K -1.353 -3.810 -2.082
! DFT total energy: -99.37 eV/cell
! Symmetry: I4/mmm (139)
! Crystal system: tetragonal

***

! CsKSe2, PBEsol geometry, DFT meta-GGA SCAN; values from VASP
&SYSTEM
  ibrav = 0, nat = 8, ntyp = 3
/
ATOMIC_SPECIES
Se 78.96 Se.upf
K 39.10 K.upf
Cs 132.91 Cs.upf
CELL_PARAMETERS angstrom
5.437 0.000 0.000
0.000 5.437 0.000
-2.718 -2.718 10.591
ATOMIC_POSITIONS angstrom
Se 3.059 1.359 2.648
Se 2.377 4.078 2.648
K 2.718 2.718 0.000
Se 1.359 0.341 7.943
K 2.718 0.000 5.295
Cs 0.000 2.718 5.295
Se -1.359 -0.341 7.943
Cs 0.000 0.000 0.000
! DFT total energy: -179.55 eV/cell
! Symmetry: I-42d (122)
! Crystal system: tetragonal

***

! CsK3Si, PBEsol geometry, DFT meta-GGA SCAN; values from VASP
&SYSTEM
  ibrav = 0, nat = 5, ntyp = 3
/
ATOMIC_SPECIES
K 39.10 K.upf
Si 28.09 Si.upf
Cs 132.91 Cs.upf
CELL_PARAMETERS angstrom
7.423 0.000 0.000
0.000 7.423 0.000
0.000 0.000 7.423
ATOMIC_POSITIONS angstrom
K 0.000 3.711 0.000
Si 3.711 3.711 3.711
K 3.711 0.000 0.000
K 0.000 0.000 3.711
Cs 0.000 0.000 0.000
! DFT total energy: -67.65 eV/cell
! Symmetry: Pm-3m (221)
! Crystal system: cubic